[1]
# Nd2SiSbPd6, relaxed, DFT PBE
# Magnetic moment in μB per formula unit: 0.00
# E_form (uncorrected) in eV/f.u.: -7.50
# VASP energy in eV for the cell shown: -115.472
# Fermi-level density of states in states/eV/cell: 6.20
data_Nd2SiSbPd6
_chemical_formula_sum 'Nd4 Si2 Sb2 Pd12'
_space_group_name_H-M_alt 'P 1'
_space_group_IT_number 1
_cell_length_a 5.5846
_cell_length_b 8.7934
_cell_length_c 8.5082
_cell_angle_alpha 90.00
_cell_angle_beta 90.00
_cell_angle_gamma 90.00
loop_
_space_group_symop_operation_xyz
'x,y,z'
loop_
_atom_site_label
_atom_site_type_symbol
_atom_site_fract_x
_atom_site_fract_y
_atom_site_fract_z
_atom_site_occupancy
Nd1 Nd 0.2500 0.0010 0.2401 1
Nd2 Nd 0.2500 0.4990 0.2401 1
Nd3 Nd 0.7500 0.5010 0.7599 1
Nd4 Nd 0.7500 0.9990 0.7599 1
Si1 Si 0.2500 0.7500 0.7358 1
Si2 Si 0.7500 0.2500 0.2642 1
Sb1 Sb 0.2500 0.2500 0.7798 1
Sb2 Sb 0.7500 0.7500 0.2202 1
Pd1 Pd 0.0020 0.2500 0.4966 1
Pd2 Pd 0.0052 0.7500 0.9630 1
Pd3 Pd 0.2500 0.5019 0.6071 1
Pd4 Pd 0.2500 0.9981 0.6071 1
Pd5 Pd 0.4948 0.7500 0.9630 1
Pd6 Pd 0.4980 0.2500 0.4966 1
Pd7 Pd 0.5020 0.7500 0.5034 1
Pd8 Pd 0.5052 0.2500 0.0370 1
Pd9 Pd 0.7500 0.0019 0.3929 1
Pd10 Pd 0.7500 0.4981 0.3929 1
Pd11 Pd 0.9948 0.2500 0.0370 1
Pd12 Pd 0.9980 0.7500 0.5034 1

=====

[2]
# Nb2InAgH, relaxed, DFT PBE
# Magnetic moment in μB per formula unit: 0.00
# VASP energy in eV for the cell shown: -29.177
# Fermi-level density of states in states/eV/cell: 1.14
data_Nb2InAgH
_chemical_formula_sum 'Nb2 In1 Ag1 H1'
_space_group_name_H-M_alt 'P 1'
_space_group_IT_number 1
_cell_length_a 4.0563
_cell_length_b 4.0563
_cell_length_c 4.6807
_cell_angle_alpha 90.00
_cell_angle_beta 90.00
_cell_angle_gamma 90.00
loop_
_space_group_symop_operation_xyz
'x,y,z'
loop_
_atom_site_label
_atom_site_type_symbol
_atom_site_fract_x
_atom_site_fract_y
_atom_site_fract_z
_atom_site_occupancy
Nb1 Nb 0.0000 0.5000 0.0000 1
Nb2 Nb 0.5000 0.0000 0.0000 1
In1 In 0.0000 0.0000 0.5000 1
Ag1 Ag 0.5000 0.5000 0.5000 1
H1 H 0.5000 0.5000 0.0000 1

=====

[3]
# TiPbI3, relaxed, DFT PBE
# Magnetic moment in μB per formula unit: 3.00
# ΔE to the lowest computed polymorph in meV/atom: 0
# E_form (uncorrected) in eV/f.u.: -0.96
# VASP energy in eV for the cell shown: -17.210
# Fermi-level density of states in states/eV/cell: 4.80
data_TiPbI3
_chemical_formula_sum 'Ti1 Pb1 I3'
_space_group_name_H-M_alt 'P 1'
_space_group_IT_number 1
_cell_length_a 5.6362
_cell_length_b 5.6362
_cell_length_c 5.6362
_cell_angle_alpha 90.00
_cell_angle_beta 90.00
_cell_angle_gamma 90.00
loop_
_space_group_symop_operation_xyz
'x,y,z'
loop_
_atom_site_label
_atom_site_type_symbol
_atom_site_fract_x
_atom_site_fract_y
_atom_site_fract_z
_atom_site_occupancy
Ti1 Ti 0.0000 0.0000 0.0000 1
Pb1 Pb 0.5000 0.5000 0.5000 1
I1 I 0.0000 0.0000 0.5000 1
I2 I 0.0000 0.5000 0.0000 1
I3 I 0.5000 0.0000 0.0000 1

=====

[4]
# RbCuBi2Br8, relaxed, DFT PBE
# Magnetic moment in μB per formula unit: 0.18
# E_form (uncorrected) in eV/f.u.: -9.70
# VASP energy in eV for the cell shown: -35.907
data_RbCuBi2Br8
_chemical_formula_sum 'Rb1 Cu1 Bi2 Br8'
_space_group_name_H-M_alt 'P 1'
_space_group_IT_number 1
_cell_length_a 7.5410
_cell_length_b 8.6547
_cell_length_c 8.7600
_cell_angle_alpha 79.36
_cell_angle_beta 67.93
_cell_angle_gamma 88.83
loop_
_space_group_symop_operation_xyz
'x,y,z'
loop_
_atom_site_label
_atom_site_type_symbol
_atom_site_fract_x
_atom_site_fract_y
_atom_site_fract_z
_atom_site_occupancy
Rb1 Rb 0.0000 0.0000 0.0000 1
Cu1 Cu 0.0000 0.5000 0.0000 1
Bi1 Bi 0.0235 0.2585 0.4784 1
Bi2 Bi 0.9765 0.7415 0.5216 1
Br1 Br 0.1734 0.6908 0.7842 1
Br2 Br 0.2283 0.0054 0.2923 1
Br3 Br 0.2286 0.5645 0.2902 1
Br4 Br 0.2784 0.2284 0.6306 1
Br5 Br 0.7216 0.7716 0.3694 1
Br6 Br 0.7714 0.4355 0.7098 1
Br7 Br 0.7717 0.9946 0.7077 1
Br8 Br 0.8266 0.3092 0.2158 1

=====

[5]
# Ba2LiNiCl6, relaxed, DFT PBE
# Magnetic moment in μB per formula unit: 1.00
# E_form (uncorrected) in eV/f.u.: -17.91
# VASP energy in eV for the cell shown: -81.061
# Fermi-level density of states in states/eV/cell: 11.97
data_Ba2LiNiCl6
_chemical_formula_sum 'Ba4 Li2 Ni2 Cl12'
_space_group_name_H-M_alt 'P 1'
_space_group_IT_number 1
_cell_length_a 11.9123
_cell_length_b 11.9123
_cell_length_c 11.9123
_cell_angle_alpha 33.89
_cell_angle_beta 33.89
_cell_angle_gamma 33.89
loop_
_space_group_symop_operation_xyz
'x,y,z'
loop_
_atom_site_label
_atom_site_type_symbol
_atom_site_fract_x
_atom_site_fract_y
_atom_site_fract_z
_atom_site_occupancy
Ba1 Ba 0.1263 0.1263 0.1263 1
Ba2 Ba 0.2913 0.2913 0.2913 1
Ba3 Ba 0.7087 0.7087 0.7087 1
Ba4 Ba 0.8737 0.8737 0.8737 1
Li1 Li 0.4177 0.4177 0.4177 1
Li2 Li 0.5823 0.5823 0.5823 1
Ni1 Ni 0.0000 0.0000 0.0000 1
Ni2 Ni 0.5000 0.5000 0.5000 1
Cl1 Cl 0.1138 0.6319 0.6319 1
Cl2 Cl 0.2084 0.2084 0.7088 1
Cl3 Cl 0.2084 0.7088 0.2084 1
Cl4 Cl 0.2912 0.7916 0.7916 1
Cl5 Cl 0.3681 0.3681 0.8862 1
Cl6 Cl 0.3681 0.8862 0.3681 1
Cl7 Cl 0.6319 0.1138 0.6319 1
Cl8 Cl 0.6319 0.6319 0.1138 1
Cl9 Cl 0.7088 0.2084 0.2084 1
Cl10 Cl 0.7916 0.2912 0.7916 1
Cl11 Cl 0.7916 0.7916 0.2912 1
Cl12 Cl 0.8862 0.3681 0.3681 1

=====

[6]
# BiRhCl2, relaxed, DFT PBE
# Magnetic moment in μB per formula unit: 0.00
# ΔE to the lowest computed polymorph in meV/atom: 71
# E_form (uncorrected) in eV/f.u.: 0.07
# VASP energy in eV for the cell shown: -29.706
# Fermi-level density of states in states/eV/cell: 3.84
data_BiRhCl2
_chemical_formula_sum 'Bi2 Rh2 Cl4'
_space_group_name_H-M_alt 'P 1'
_space_group_IT_number 1
_cell_length_a 9.5238
_cell_length_b 9.5238
_cell_length_c 9.5238
_cell_angle_alpha 153.03
_cell_angle_beta 153.03
_cell_angle_gamma 38.51
loop_
_space_group_symop_operation_xyz
'x,y,z'
loop_
_atom_site_label
_atom_site_type_symbol
_atom_site_fract_x
_atom_site_fract_y
_atom_site_fract_z
_atom_site_occupancy
Bi1 Bi 0.0000 0.0000 0.0000 1
Bi2 Bi 0.7500 0.2500 0.5000 1
Rh1 Rh 0.2500 0.7500 0.5000 1
Rh2 Rh 0.5000 0.5000 0.0000 1
Cl1 Cl 0.1524 0.6250 0.0274 1
Cl2 Cl 0.3750 0.4024 0.5274 1
Cl3 Cl 0.5976 0.1250 0.9726 1
Cl4 Cl 0.8750 0.8476 0.4726 1

=====

[7]
# ZnNiP2, relaxed, DFT PBE
# Magnetic moment in μB per formula unit: 0.00
# Formation energy from the elements in kJ per mole of atoms: -5
# VASP energy in eV for the cell shown: -18.086
# Fermi-level density of states in states/eV/cell: 1.33
data_ZnNiP2
_chemical_formula_sum 'Zn1 Ni1 P2'
_space_group_name_H-M_alt 'P 1'
_space_group_IT_number 1
_cell_length_a 4.0456
_cell_length_b 3.3259
_cell_length_c 4.7581
_cell_angle_alpha 90.00
_cell_angle_beta 105.80
_cell_angle_gamma 90.00
loop_
_space_group_symop_operation_xyz
'x,y,z'
loop_
_atom_site_label
_atom_site_type_symbol
_atom_site_fract_x
_atom_site_fract_y
_atom_site_fract_z
_atom_site_occupancy
Zn1 Zn 0.0000 0.0000 0.0000 1
Ni1 Ni 0.5000 0.0000 0.5000 1
P1 P 0.2335 0.5000 0.6779 1
P2 P 0.7665 0.5000 0.3221 1

=====

[8]
# Ba2Al2Fe, relaxed, DFT PBE
# Magnetic moment in μB per formula unit: 0.00
# Formation energy from the elements in kJ per mole of atoms: 58
# ΔE to the lowest computed polymorph in meV/atom: 0
# VASP energy in eV for the cell shown: -16.812
# Fermi-level density of states in states/eV/cell: 10.58
data_Ba2Al2Fe
_chemical_formula_sum 'Ba2 Al2 Fe1'
_space_group_name_H-M_alt 'P 1'
_space_group_IT_number 1
_cell_length_a 10.5271
_cell_length_b 10.5271
_cell_length_c 10.5271
_cell_angle_alpha 159.17
_cell_angle_beta 159.17
_cell_angle_gamma 29.62
loop_
_space_group_symop_operation_xyz
'x,y,z'
loop_
_atom_site_label
_atom_site_type_symbol
_atom_site_fract_x
_atom_site_fract_y
_atom_site_fract_z
_atom_site_occupancy
Ba1 Ba 0.0933 0.0933 0.0000 1
Ba2 Ba 0.9067 0.9067 0.0000 1
Al1 Al 0.2500 0.7500 0.5000 1
Al2 Al 0.7500 0.2500 0.5000 1
Fe1 Fe 0.5000 0.5000 0.0000 1

=====

[9]
# Rb2ErSb2O6, relaxed, DFT PBE
# Magnetic moment in μB per formula unit: 0.99
# E_form (uncorrected) in eV/f.u.: -20.36
# VASP energy in eV for the cell shown: -64.853
# Fermi-level density of states in states/eV/cell: 1.70
data_Rb2ErSb2O6
_chemical_formula_sum 'Rb2 Er1 Sb2 O6'
_space_group_name_H-M_alt 'P 1'
_space_group_IT_number 1
_cell_length_a 6.0304
_cell_length_b 6.0304
_cell_length_c 7.4678
_cell_angle_alpha 110.97
_cell_angle_beta 110.97
_cell_angle_gamma 62.95
loop_
_space_group_symop_operation_xyz
'x,y,z'
loop_
_atom_site_label
_atom_site_type_symbol
_atom_site_fract_x
_atom_site_fract_y
_atom_site_fract_z
_atom_site_occupancy
Rb1 Rb 0.2038 0.2038 0.1588 1
Rb2 Rb 0.7962 0.7962 0.8412 1
Er1 Er 0.0000 0.0000 0.5000 1
Sb1 Sb 0.4269 0.4269 0.7637 1
Sb2 Sb 0.5731 0.5731 0.2363 1
O1 O 0.2240 0.7145 0.2682 1
O2 O 0.2334 0.2334 0.5594 1
O3 O 0.2855 0.7760 0.7318 1
O4 O 0.7145 0.2240 0.2682 1
O5 O 0.7666 0.7666 0.4406 1
O6 O 0.7760 0.2855 0.7318 1

=====

[10]
# LiPm2Ho3Te6, relaxed, DFT PBE
# Magnetic moment in μB per formula unit: 0.00
# E_form (uncorrected) in eV/f.u.: -15.96
# VASP energy in eV for the cell shown: -59.962
# Fermi-level density of states in states/eV/cell: 3.71
data_LiPm2Ho3Te6
_chemical_formula_sum 'Li1 Pm2 Ho3 Te6'
_space_group_name_H-M_alt 'P 1'
_space_group_IT_number 1
_cell_length_a 9.8018
_cell_length_b 9.8018
_cell_length_c 8.7697
_cell_angle_alpha 103.10
_cell_angle_beta 103.10
_cell_angle_gamma 25.70
loop_
_space_group_symop_operation_xyz
'x,y,z'
loop_
_atom_site_label
_atom_site_type_symbol
_atom_site_fract_x
_atom_site_fract_y
_atom_site_fract_z
_atom_site_occupancy
Li1 Li 0.0000 0.0000 0.0000 1
Pm1 Pm 0.3294 0.3294 0.6575 1
Pm2 Pm 0.6706 0.6706 0.3425 1
Ho1 Ho 0.0000 0.0000 0.5000 1
Ho2 Ho 0.3301 0.3301 0.1681 1
Ho3 Ho 0.6699 0.6699 0.8319 1
Te1 Te 0.1625 0.1625 0.0748 1
Te2 Te 0.1621 0.1621 0.5906 1
Te3 Te 0.4980 0.4980 0.2438 1
Te4 Te 0.5020 0.5020 0.7562 1
Te5 Te 0.8379 0.8379 0.4094 1
Te6 Te 0.8375 0.8375 0.9252 1

=====

[11]
# MnV4Re, relaxed, DFT PBE
# Magnetic moment in μB per formula unit: 0.00
# Formation energy from the elements in kJ per mole of atoms: 43
# ΔE to the lowest computed polymorph in meV/atom: 706
# VASP energy in eV for the cell shown: -55.418
# Fermi-level density of states in states/eV/cell: 6.14
data_MnV4Re
_chemical_formula_sum 'Mn1 V4 Re1'
_space_group_name_H-M_alt 'P 1'
_space_group_IT_number 1
_cell_length_a 4.1689
_cell_length_b 4.1689
_cell_length_c 6.7716
_cell_angle_alpha 106.53
_cell_angle_beta 106.53
_cell_angle_gamma 56.79
loop_
_space_group_symop_operation_xyz
'x,y,z'
loop_
_atom_site_label
_atom_site_type_symbol
_atom_site_fract_x
_atom_site_fract_y
_atom_site_fract_z
_atom_site_occupancy
Mn1 Mn 0.0000 0.0000 0.0000 1
V1 V 0.1255 0.1255 0.3556 1
V2 V 0.3710 0.3710 0.1058 1
V3 V 0.6290 0.6290 0.8942 1
V4 V 0.8745 0.8745 0.6444 1
Re1 Re 0.5000 0.5000 0.5000 1

=====

[12]
# Ba6SbI3Br2, relaxed, DFT PBE
# Magnetic moment in μB per formula unit: 0.00
# E_form (uncorrected) in eV/f.u.: -17.12
# VASP energy in eV for the cell shown: -40.771
# Fermi-level density of states in states/eV/cell: 7.35
data_Ba6SbI3Br2
_chemical_formula_sum 'Ba6 Sb1 I3 Br2'
_space_group_name_H-M_alt 'P 1'
_space_group_IT_number 1
_cell_length_a 8.3483
_cell_length_b 8.3483
_cell_length_c 8.8653
_cell_angle_alpha 99.01
_cell_angle_beta 99.01
_cell_angle_gamma 120.07
loop_
_space_group_symop_operation_xyz
'x,y,z'
loop_
_atom_site_label
_atom_site_type_symbol
_atom_site_fract_x
_atom_site_fract_y
_atom_site_fract_z
_atom_site_occupancy
Ba1 Ba 0.0759 0.4077 0.2264 1
Ba2 Ba 0.2564 0.2564 0.7726 1
Ba3 Ba 0.4077 0.0759 0.2264 1
Ba4 Ba 0.5923 0.9241 0.7736 1
Ba5 Ba 0.7436 0.7436 0.2274 1
Ba6 Ba 0.9241 0.5923 0.7736 1
Sb1 Sb 0.0000 0.0000 0.0000 1
I1 I 0.1654 0.8346 0.5000 1
I2 I 0.5000 0.5000 0.5000 1
I3 I 0.8346 0.1654 0.5000 1
Br1 Br 0.3330 0.6670 0.0000 1
Br2 Br 0.6670 0.3330 0.0000 1